Entry 1:
Crystalline NiMoOs4 at its relaxed geometry, computed with PBE.

a = 7.1884 Å, b = 7.1884 Å, c = 7.1884 Å
α = 90.00°, β = 90.00°, γ = 90.00°
Last column: nearest neighbours and their distance in Å.
Space group F-43m (No. 216)
Unique sites:
Ni (0.0000, 0.0000, 0.0000) [4 per cell]  12 Os 2.98, 4 Mo 3.11
Mo (0.2500, 0.2500, 0.2500) [4 per cell]  12 Os 2.98, 4 Ni 3.11
Os (0.1255, 0.1255, 0.6255) [16 per cell]  6 Os 2.53-2.55

Output
Energy ... -9.648 eV per atom
DOS at the Fermi energy ... 1.54 states/eV per atom



Entry 2:
Crystalline CsNa3Li at its relaxed geometry, computed with PBE.

a = 18.7209 Å, b = 11.9948 Å, c = 8.4351 Å
α = 90.00°, β = 103.23°, γ = 90.00°
Last column: nearest neighbours and their distance in Å.
Space group C2/c (No. 15)
Unique sites:
Cs (0.0000, 0.0167, 0.2500) [4 per cell]  2 Li 4.04, 3 Cs 4.24-4.51, 4 Na 4.43-4.52
Cs (0.0000, 0.3589, 0.7500) [4 per cell]  6 Li 4.14-4.55, 6 Na 4.36-4.60, 1 Cs 4.51
Na (0.1875, 0.1647, 0.0851) [8 per cell]  1 Li 3.40, 4 Na 3.63-3.68
Na (0.1883, 0.4971, 0.5955) [8 per cell]  2 Li 3.46-3.49, 4 Na 3.59-3.68
Na (0.1946, 0.1672, 0.6030) [8 per cell]  1 Li 3.43, 4 Na 3.59-3.63
Li (0.0904, 0.3241, 0.2950) [8 per cell]  1 Li 3.29, 4 Na 3.40-3.49

Output
Energy ... -1.261 eV per atom
DOS at the Fermi energy ... 0.51 states/eV per atom



Entry 3:
Crystalline Ca2PrTl2Ag2 at its relaxed geometry, computed with PBE.

a = 4.9836 Å, b = 4.9836 Å, c = 27.9378 Å
α = 90.00°, β = 90.00°, γ = 120.00°
Last column: nearest neighbours and their distance in Å.
Space group R-3m (No. 166, hexagonal axes)
Unique sites:
Ca (0.0000, 0.0000, 0.1242) [6 per cell]  3 Tl 3.27, 3 Ag 3.36, 1 Pr 3.47
Pr (0.0000, 0.0000, 0.0000) [3 per cell]  6 Ag 3.36, 6 Tl 3.46, 2 Ca 3.47
Tl (0.0000, 0.0000, 0.2644) [6 per cell]  3 Ag 2.88
Ag (0.0000, 0.0000, 0.3955) [6 per cell]  3 Tl 2.88

Output
Energy ... -2.991 eV per atom
DOS at the Fermi energy ... 0.64 states/eV per atom



| no. | DFT formation energy (eV/atom) |
| --- | --- |
| 1 | 0.6068 |
| 2 | 0.0839 |
| 3 | -0.2458 |